1.
{
  "formula": "NaZrRe2Bi",
  "functional": "PBE",
  "state": "optimized geometry",
  "formation_enthalpy_0k_mev_per_atom": 2205,
  "cell": [[-0.664, 0.327, 4.684], [1.136, -4.579, 0.480], [4.546, 1.186, 0.562]],
  "species": ["Re", "Zr", "Na", "Bi", "Re"],
  "frac_coords": [[0.000, 0.500, 0.000], [0.000, 0.000, 0.500], [0.000, 0.000, 0.000], [0.500, 0.500, 0.500], [0.500, 0.000, 0.000]]
}

2.
{
  "formula": "MnHgPBr",
  "functional": "PBE",
  "state": "optimized geometry",
  "e_form_raw_kj_per_mol_fu": -26,
  "cell": [[-4.806, -0.396, 0.999], [0.736, -0.695, 3.265], [2.167, 6.640, 0.925]],
  "species": ["P", "Mn", "Br", "Hg"],
  "frac_coords": [[0.482, 0.500, 0.423], [0.363, 0.000, 0.184], [0.223, 0.500, 0.904], [0.951, 0.000, 0.359]]
}

3.
{
  "formula": "Mg4HgPd",
  "functional": "PBE",
  "state": "optimized geometry",
  "formation_enthalpy_0k_mev_per_atom": -274,
  "cell": [[4.540, -0.001, -0.002], [-0.001, 4.539, -0.003], [0.003, 0.004, 6.691]],
  "species": ["Mg", "Pd", "Hg", "Mg", "Mg", "Mg"],
  "frac_coords": [[0.001, 0.497, 0.269], [0.001, 0.998, 0.498], [0.501, 0.498, 0.998], [0.002, 0.497, 0.727], [0.502, 0.997, 0.727], [0.501, 0.997, 0.270]]
}

4.
{
  "formula": "In3SbI",
  "functional": "PBE",
  "state": "optimized geometry",
  "e_form_raw_kj_per_mol_fu": 80,
  "cell": [[-0.367, 4.859, 3.355], [-5.894, -0.504, 0.086], [0.357, -3.337, 4.872]],
  "species": ["Sb", "In", "In", "In", "I"],
  "frac_coords": [[0.000, 0.000, 0.000], [0.000, 0.000, 0.500], [0.500, 0.000, 0.000], [0.000, 0.500, 0.000], [0.500, 0.500, 0.500]]
}

5.
{
  "formula": "DyY4Er5",
  "functional": "PBE",
  "state": "optimized geometry",
  "formation_enthalpy_0k_mev_per_atom": 59,
  "cell": [[-2.605, 2.280, -0.768], [0.837, -3.750, -5.555], [-6.516, -10.551, 7.132]],
  "species": ["Y", "Er", "Er", "Y", "Er", "Y", "Dy", "Y", "Er", "Er"],
  "frac_coords": [[0.112, 0.298, 0.194], [0.773, 0.874, 0.583], [0.069, 0.418, 0.613], [0.361, 0.828, 0.213], [0.227, 0.126, 0.417], [0.639, 0.172, 0.787], [0.500, 0.000, 0.000], [0.888, 0.702, 0.806], [0.931, 0.582, 0.387], [0.500, 0.500, 0.000]]
}

6.
{
  "formula": "Ac4SiNiI2",
  "functional": "PBE",
  "state": "optimized geometry",
  "e_form_raw_kj_per_mol_fu": -590,
  "cell": [[-2.925, 2.436, 2.129], [-5.727, -5.477, -1.599], [3.508, -2.362, 7.523]],
  "species": ["Ni", "I", "Ac", "Ac", "Ac", "Ac", "Si", "I"],
  "frac_coords": [[0.000, 0.000, 0.000], [0.000, 0.500, 0.500], [0.000, 0.739, 0.199], [0.000, 0.261, 0.801], [0.500, 0.212, 0.183], [0.500, 0.788, 0.817], [0.500, 0.500, 0.000], [0.500, 0.000, 0.500]]
}

7.
{
  "formula": "SrAc2Sn2Hg2",
  "functional": "PBE",
  "state": "optimized geometry",
  "formation_enthalpy_0k_mev_per_atom": -361,
  "cell": [[5.249, 0.000, 0.000], [2.624, 4.546, 0.000], [2.624, 1.515, 10.063]],
  "species": ["Ac", "Hg", "Sn", "Ac", "Sn", "Sr", "Hg"],
  "frac_coords": [[0.128, 0.128, 0.616], [0.582, 0.582, 0.255], [0.737, 0.737, 0.789], [0.872, 0.872, 0.384], [0.263, 0.263, 0.211], [0.000, 0.000, 0.000], [0.418, 0.418, 0.745]]
}

8.
{
  "formula": "CsGe3Te",
  "functional": "PBE",
  "state": "optimized geometry",
  "e_form_raw_kj_per_mol_fu": 852,
  "cell": [[5.782, 0.000, 0.000], [0.000, 5.782, 0.000], [0.000, 0.000, 5.782]],
  "species": ["Cs", "Te", "Ge", "Ge", "Ge"],
  "frac_coords": [[0.000, 0.000, 0.000], [0.500, 0.500, 0.500], [0.000, 0.000, 0.500], [0.500, 0.000, 0.000], [0.000, 0.500, 0.000]]
}

9.
{
  "formula": "DyBIr2",
  "functional": "PBE",
  "state": "optimized geometry",
  "formation_enthalpy_0k_mev_per_atom": 20,
  "cell": [[4.201, 0.000, 0.000], [-2.100, 3.638, 0.000], [0.000, 0.000, 4.782]],
  "species": ["Ir", "Ir", "Dy", "B"],
  "frac_coords": [[0.333, 0.667, 0.000], [0.667, 0.333, 0.000], [0.000, 0.000, 0.500], [0.000, 0.000, 0.000]]
}

10.
{
  "formula": "LaBi2Pb",
  "functional": "PBE",
  "state": "optimized geometry",
  "formation_enthalpy_0k_mev_per_atom": -473,
  "cell": [[4.384, 0.000, 0.000], [0.000, 4.384, 0.000], [0.000, 0.000, 6.745]],
  "species": ["La", "Bi", "Bi", "Pb"],
  "frac_coords": [[0.500, 0.500, 0.500], [0.000, 0.000, 0.743], [0.000, 0.000, 0.257], [0.500, 0.500, 0.000]]
}

11.
{
  "formula": "KTcH3",
  "functional": "PBE",
  "state": "optimized geometry",
  "cell": [[-3.763, 0.190, 0.643], [0.610, -0.556, 3.732], [0.279, 3.777, 0.517]],
  "species": ["H", "K", "H", "H", "Tc"],
  "frac_coords": [[0.000, 0.000, 0.500], [0.500, 0.500, 0.500], [0.500, 0.000, 0.000], [0.000, 0.500, 0.000], [0.000, 0.000, 0.000]]
}

12.
{
  "formula": "Li14CaAu",
  "functional": "PBE",
  "state": "optimized geometry",
  "formation_enthalpy_0k_mev_per_atom": -71,
  "cell": [[6.323, -0.625, 0.000], [-3.053, 5.572, 0.000], [0.000, 0.000, 9.923]],
  "species": ["Ca", "Li", "Li", "Li", "Li", "Li", "Li", "Li", "Li", "Li", "Au", "Li", "Li", "Li", "Li", "Li"],
  "frac_coords": [[0.008, 0.992, 0.500], [0.391, 0.609, 0.284], [0.227, 0.278, 0.000], [0.869, 0.612, 0.249], [0.722, 0.773, 0.000], [0.388, 0.131, 0.751], [0.865, 0.135, 0.221], [0.233, 0.767, 0.000], [0.516, 0.997, 0.500], [0.003, 0.484, 0.500], [0.554, 0.446, 0.500], [0.388, 0.131, 0.249], [0.391, 0.609, 0.716], [0.865, 0.135, 0.779], [0.869, 0.612, 0.751], [0.710, 0.290, 0.000]]
}

E_tot, respectively: -27.62, -16.82, -13.52, -13.06, -52.68, -36.85, -21.03, -9.02, -28.92, -18.29, -20.25, -33.21 eV for the cell shown.